(1)
ReMo2Br: optimized geometry, GGA-PBEsol.

The structure belongs to space group Pmmm (No. 47); the cell edges are 3.004, 4.525 and 4.529 Å and the angles 90.00°, 90.00° and 90.00°. The distinct sites, in fractional coordinates, are Re at (0.000, 0.000, 0.000), Mo at (0.000, 0.500, 0.500), Mo at (0.500, 0.500, 0.000) and Br at (0.500, 0.000, 0.500).

The calculated volume comes out at 62 Å³ per cell. The energy above the lowest structure with this stoichiometry is 184.4 meV per atom. The spin magnetization comes out at 0.00 μB/cell. The value obtained for the density of states at the Fermi level is 3.06 states/eV/f.u.

(2)
ReMoBr2: optimized geometry, GGA-PBEsol.

The structure belongs to space group P2/m (No. 10); the cell edges are 2.862, 4.438 and 5.727 Å and the angles 90.00°, 104.20° and 90.00°. The distinct sites, in fractional coordinates, are Re at (0.000, 0.000, 0.000), Mo at (0.500, 0.000, 0.500) and Br at (0.172, 0.500, 0.258).

The calculated volume comes out at 71 Å³ per cell. The spin magnetization comes out at 0.00 μB/cell. The value obtained for the density of states at the Fermi level is 3.93 states/eV/f.u. The total energy comes out at -24.07 eV/cell.

(3)
Re2MoBr: optimized geometry, GGA-PBEsol.

The structure belongs to space group R-3m (No. 166, hexagonal axes); the cell edges are 2.8971, 2.8971 and 25.8759 Å and the angles 90.00°, 90.00° and 120.00°. The distinct sites, in fractional coordinates, are Re at (0.0000, 0.0000, 0.2480), Mo at (0.0000, 0.0000, 0.5000) and Br at (0.0000, 0.0000, 0.0000).

The calculated volume comes out at 188 Å³ per cell. The energy above the lowest structure with this stoichiometry is 0.0 meV per atom. The spin magnetization comes out at 0.00 μB/cell. The value obtained for the density of states at the Fermi level is 3.25 states/eV/f.u.

(4)
ReMo2Br: optimized geometry, GGA-PBEsol.

The structure belongs to space group Pmmm (No. 47); the cell edges are 3.031, 3.809 and 6.149 Å and the angles 90.00°, 90.00° and 90.00°. The distinct sites, in fractional coordinates, are Re at (0.000, 0.000, 0.000), Mo at (0.500, 0.500, 0.187) and Br at (0.000, 0.000, 0.500).

The calculated volume comes out at 71 Å³ per cell. The energy above the lowest structure with this stoichiometry is 0.0 meV per atom. The spin magnetization comes out at 0.00 μB/cell. The value obtained for the density of states at the Fermi level is 2.86 states/eV/f.u.

(5)
ReMo2Br: optimized geometry, GGA-PBEsol.

The structure belongs to space group Immm (No. 71); the cell edges are 2.986, 4.507 and 9.018 Å and the angles 90.00°, 90.00° and 90.00°. The distinct sites, in fractional coordinates, are Re at (0.000, 0.000, 0.000), Mo at (0.000, 0.500, 0.235) and Br at (0.000, 0.000, 0.500).

The calculated volume comes out at 121 Å³ per cell. The energy above the lowest structure with this stoichiometry is 81.2 meV per atom. The spin magnetization comes out at 0.00 μB/cell. The value obtained for the density of states at the Fermi level is 2.64 states/eV/f.u.

(6)
Re2MoBr: optimized geometry, GGA-PBEsol.

The structure belongs to space group P4/mmm (No. 123); the cell edges are 3.024, 3.024 and 6.753 Å and the angles 90.00°, 90.00° and 90.00°. The distinct sites, in fractional coordinates, are Re at (0.000, 0.000, 0.237), Mo at (0.500, 0.500, 0.000) and Br at (0.500, 0.500, 0.500).

The calculated volume comes out at 62 Å³ per cell. The energy above the lowest structure with this stoichiometry is 90.7 meV per atom. The spin magnetization comes out at 0.00 μB/cell. The value obtained for the density of states at the Fermi level is 2.27 states/eV/f.u.

(7)
Re2MoBr: optimized geometry, GGA-PBEsol.

The structure belongs to space group C2/m (No. 12); the cell edges are 5.332, 9.032 and 2.882 Å and the angles 90.00°, 116.90° and 90.00°. The distinct sites, in fractional coordinates, are Re at (0.250, 0.250, 0.000), Mo at (0.000, 0.000, 0.500) and Br at (0.000, 0.500, 0.500).

The calculated volume comes out at 124 Å³ per cell. The energy above the lowest structure with this stoichiometry is 369.5 meV per atom. The spin magnetization comes out at 0.00 μB/cell. The value obtained for the density of states at the Fermi level is 3.21 states/eV/f.u.

(8)
Mo2RhBr: optimized geometry, GGA-PBEsol.

The structure belongs to space group Cmmm (No. 65); the cell edges are 3.045, 4.679 and 8.957 Å and the angles 90.00°, 90.00° and 90.00°. The distinct sites, in fractional coordinates, are Mo at (0.000, 0.000, 0.238), Rh at (0.000, 0.500, 0.000) and Br at (0.000, 0.500, 0.500).

The calculated volume comes out at 128 Å³ per cell. The energy above the lowest structure with this stoichiometry is 252.2 meV per atom. The spin magnetization comes out at 0.00 μB/cell. The value obtained for the density of states at the Fermi level is 4.11 states/eV/f.u.

(9)
MoRhBr: optimized geometry, GGA-PBEsol.

The structure belongs to space group F-43m (No. 216); the cell edges are 5.974, 5.974 and 5.974 Å and the angles 90.00°, 90.00° and 90.00°. The distinct sites, in fractional coordinates, are Mo at (0.000, 0.000, 0.000), Rh at (0.250, 0.250, 0.750) and Br at (0.250, 0.250, 0.250).

The calculated volume comes out at 213 Å³ per cell. The energy above the lowest structure with this stoichiometry is 27.7 meV per atom. The spin magnetization comes out at 0.01 μB/cell. The value obtained for the density of states at the Fermi level is 3.67 states/eV/f.u.

(10)
Mo3RhBr: optimized geometry, GGA-PBEsol.

The structure belongs to space group Pm-3m (No. 221); the cell edges are 4.483, 4.483 and 4.483 Å and the angles 90.00°, 90.00° and 90.00°. The distinct sites, in fractional coordinates, are Mo at (0.000, 0.000, 0.500), Rh at (0.500, 0.500, 0.500) and Br at (0.000, 0.000, 0.000).

The calculated volume comes out at 90 Å³ per cell. The spin magnetization comes out at 0.00 μB/cell. The value obtained for the density of states at the Fermi level is 7.11 states/eV/f.u. The total energy comes out at -36.66 eV/cell.

(11)
Mo2RhBr: optimized geometry, GGA-PBEsol.

The structure belongs to space group P4/mmm (No. 123); the cell edges are 3.679, 3.679 and 4.611 Å and the angles 90.00°, 90.00° and 90.00°. The distinct sites, in fractional coordinates, are Mo at (0.000, 0.500, 0.000), Rh at (0.000, 0.000, 0.500) and Br at (0.500, 0.500, 0.500).

The calculated volume comes out at 62 Å³ per cell. The energy above the lowest structure with this stoichiometry is 394.8 meV per atom. The spin magnetization comes out at 0.00 μB/cell. The value obtained for the density of states at the Fermi level is 3.39 states/eV/f.u.

(12)
MoRhBr: optimized geometry, GGA-PBEsol.

The structure belongs to space group P3m1 (No. 156); the cell edges are 4.2769, 4.2769 and 2.9478 Å and the angles 90.00°, 90.00° and 120.00°. The distinct sites, in fractional coordinates, are Mo at (0.0000, 0.0000, 0.0000), Rh at (0.3333, 0.6667, 0.5112) and Br at (0.6667, 0.3333, 0.0536).

The calculated volume comes out at 47 Å³ per cell. The energy above the lowest structure with this stoichiometry is 0.0 meV per atom. The spin magnetization comes out at 0.00 μB/cell. The value obtained for the density of states at the Fermi level is 3.84 states/eV/f.u.